A plane-wave DFT calculation with PBE was carried out for NdYHgGe after structural relaxation.

Structure (CIF):
```
data_NdYHgGe
_chemical_formula_sum 'Nd1 Y1 Hg1 Ge1'
_cell_length_a 5.2396
_cell_length_b 5.2396
_cell_length_c 5.2396
_cell_angle_alpha 60.00
_cell_angle_beta 60.00
_cell_angle_gamma 60.00
_symmetry_space_group_name_H-M 'P 1'
_symmetry_Int_Tables_number 1
_symmetry_space_group_name_Hall 'P 1'
loop_
_atom_site_label
_atom_site_type_symbol
_atom_site_fract_x
_atom_site_fract_y
_atom_site_fract_z
Ge1 Ge 0.5000 0.5000 0.5000
Y1 Y 0.2500 0.2500 0.2500
Hg1 Hg 0.0000 0.0000 0.0000
Nd1 Nd 0.7500 0.7500 0.7500
```

Its space group is F-43m. For the energy of formation from the pure elements, the calculation gives -570 meV/atom. The total DFT energy (no corrections) is -4.6078 eV per atom. The size of the total moment is 0.0000 μB/atom.